NaNpCoO6, optimized geometry, DFT PBE+U; uncorrected energy = -7.215 eV per atom; SG = P-31c, No. 163
1.0
5.175 0.000 0.000
-2.588 4.482 0.000
0.000 0.000 10.424
Na Np Co O
2 2 2 12
Cartesian
0.000 0.000 0.000
0.000 0.000 5.212
0.000 2.988 2.606
2.588 1.494 7.818
0.000 2.988 7.818
2.588 1.494 2.606
-0.882 1.687 6.765
-1.568 2.875 8.871
0.882 1.687 8.871
-0.686 4.403 6.765
1.902 0.079 1.553
1.020 1.607 3.659
1.568 2.875 6.765
0.686 4.403 8.871
3.273 0.079 3.659
1.705 2.795 1.553
4.156 1.607 1.553
3.470 2.795 3.659